A plane-wave DFT calculation with PBE was carried out for crystalline CaHf3Be at its relaxed geometry.

E above lowest polymorph = 1.676 eV per atom
Magnetization = 0.0 μB per formula unit
Formation enthalpy at 0 K = 2160 meV per atom
Energy = -0.1822 hartree per atom

abc: 4.961 4.961 4.961
angles: 90.00 90.00 90.00
Fractional coordinates of all 5 atoms:
Be 0.500 0.500 0.500
Ca 0.000 0.000 0.000
Hf 0.000 0.500 0.000
Hf 0.000 0.000 0.500
Hf 0.500 0.000 0.000

=====

A plane-wave DFT calculation with PBE was carried out for crystalline Tl2ReGe at its relaxed geometry.

E above lowest polymorph = 0.071 eV per atom
Magnetization = 0.2 μB per formula unit
Formation enthalpy at 0 K = 1153 meV per atom
Energy = -0.1579 hartree per atom

abc: 4.940 4.940 4.940
angles: 60.00 60.00 60.00
Site moments in Bohr magnetons follow the coordinates.
Fractional coordinates of all 4 atoms:
Re 0.500 0.500 0.500  0.17
Tl 0.250 0.250 0.250  -0.01
Tl 0.750 0.750 0.750  -0.01
Ge 0.000 0.000 0.000  -0.01

=====

A plane-wave DFT calculation with PBE was carried out for crystalline NdSmScCu at its relaxed geometry.

Magnetization = 0.0 μB per formula unit
Formation enthalpy at 0 K = 141 meV per atom
Energy = -0.1778 hartree per atom

abc: 5.261 5.261 5.261
angles: 60.00 60.00 60.00
Fractional coordinates of all 4 atoms:
Sc 0.750 0.750 0.750
Nd 0.000 0.000 0.000
Cu 0.250 0.250 0.250
Sm 0.500 0.500 0.500

=====

A plane-wave DFT calculation with PBE was carried out for crystalline SrSm3 at its relaxed geometry.

Magnetization = 1.2 μB per formula unit
Formation enthalpy at 0 K = 237 meV per atom
Energy = -0.1368 hartree per atom

abc: 5.953 5.953 5.953
angles: 60.00 60.00 60.00
Site moments in Bohr magnetons follow the coordinates.
Fractional coordinates of all 4 atoms:
Sr 0.500 0.500 0.500  0.03
Sm 0.000 0.000 0.000  0.21
Sm 0.750 0.750 0.750  0.17
Sm 0.250 0.250 0.250  0.17

=====

A plane-wave DFT calculation with PBE was carried out for crystalline PrNdTlRu at its relaxed geometry.

E above lowest polymorph = 0.124 eV per atom
Magnetization = 0.0 μB per formula unit
Formation enthalpy at 0 K = -128 meV per atom
Energy = -0.1994 hartree per atom

abc: 5.272 5.272 5.272
angles: 60.00 60.00 60.00
Fractional coordinates of all 4 atoms:
Pr 0.500 0.500 0.500
Ru 0.750 0.750 0.750
Tl 0.250 0.250 0.250
Nd 0.000 0.000 0.000

=====

A plane-wave DFT calculation with PBE was carried out for crystalline CaY3Fe at its relaxed geometry.

E above lowest polymorph = 1.708 eV per atom
Magnetization = 0.6 μB per formula unit
Formation enthalpy at 0 K = 1758 meV per atom
Energy = -0.1548 hartree per atom

abc: 5.408 5.408 5.408
angles: 90.00 90.00 90.00
Site moments in Bohr magnetons follow the coordinates.
Fractional coordinates of all 5 atoms:
Y 0.000 0.500 0.000  -0.08
Y 0.000 0.000 0.500  -0.17
Y 0.500 0.000 0.000  -0.05
Ca 0.000 0.000 0.000  -0.11
Fe 0.500 0.500 0.500  -0.03